Material: KYbB4H16
Method: DFT, PBE-GGA
State: relaxed

abc: 7.433 7.433 9.451
angles: 90.00 90.00 111.90
Each line ends with the local moment (μB).
Positions (direct):
K  0.000  0.000  0.500  0.00
K  0.000  0.000  0.000  0.00
Yb  0.369  0.631  0.250  0.60
Yb  0.631  0.369  0.750  0.60
B  0.259  0.741  0.032  0.04
B  0.741  0.259  0.968  0.04
B  0.259  0.741  0.468  0.04
B  0.741  0.259  0.532  0.04
B  0.248  0.273  0.250  0.03
B  0.273  0.248  0.750  0.03
B  0.752  0.727  0.750  0.03
B  0.727  0.752  0.250  0.03
H  0.209  0.791  0.923  0.00
H  0.791  0.209  0.077  0.00
H  0.209  0.791  0.577  0.00
H  0.791  0.209  0.423  0.00
H  0.358  0.642  0.008  0.02
H  0.642  0.358  0.992  0.02
H  0.358  0.642  0.492  0.02
H  0.642  0.358  0.508  0.02
H  0.120  0.639  0.107  0.02
H  0.639  0.120  0.893  0.02
H  0.120  0.639  0.393  0.02
H  0.639  0.120  0.607  0.02
H  0.880  0.361  0.893  0.02
H  0.361  0.880  0.107  0.02
H  0.880  0.361  0.607  0.02
H  0.361  0.880  0.393  0.02
H  0.195  0.098  0.250  0.00
H  0.098  0.195  0.750  0.00
H  0.805  0.902  0.750  0.00
H  0.902  0.805  0.250  0.00
H  0.111  0.330  0.250  0.01
H  0.330  0.111  0.750  0.01
H  0.889  0.670  0.750  0.01
H  0.670  0.889  0.250  0.01
H  0.350  0.343  0.145  0.01
H  0.343  0.350  0.855  0.01
H  0.350  0.343  0.355  0.01
H  0.343  0.350  0.645  0.01
H  0.650  0.657  0.855  0.01
H  0.657  0.650  0.145  0.01
H  0.650  0.657  0.645  0.01
H  0.657  0.650  0.355  0.01

Output
E_tot, eV per atom: -4.02

***

Material: TcAsAu2
Method: DFT, PBE-GGA
State: relaxed

abc: 4.572 4.572 4.568
angles: 119.97 119.97 90.02
Positions (direct):
As  0.750  0.250  0.500
Au  0.000  0.000  0.000
Au  0.250  0.750  0.500
Tc  0.500  0.500  0.000

Output
E_form, eV/atom: 0.4061

***

Material: Ac11Tl9Pt4
Method: DFT, PBE-GGA
State: relaxed

abc: 4.061 14.363 14.363
angles: 112.89 90.00 90.00
Positions (direct):
Ac  0.000  0.582  0.917
Ac  0.000  0.418  0.083
Ac  0.000  0.917  0.582
Ac  0.000  0.083  0.418
Ac  0.000  0.626  0.374
Ac  0.000  0.374  0.626
Ac  0.000  0.837  0.163
Ac  0.000  0.163  0.837
Ac  0.000  0.000  0.000
Ac  0.000  0.690  0.690
Ac  0.000  0.310  0.310
Tl  0.500  0.635  0.156
Tl  0.500  0.365  0.844
Tl  0.500  0.156  0.635
Tl  0.500  0.844  0.365
Tl  0.500  0.786  0.928
Tl  0.500  0.214  0.072
Tl  0.500  0.928  0.786
Tl  0.500  0.072  0.214
Tl  0.500  0.500  0.500
Pt  0.500  0.551  0.749
Pt  0.500  0.449  0.251
Pt  0.500  0.749  0.551
Pt  0.500  0.251  0.449

Output
E_form, eV/atom: -0.6385

***

Density in g cm⁻³, matching the order above: 1.861, 13.933, 11.007
Density of states at the Fermi level in states/eV/cell, matching the order above: 19.83, 2.91, 19.64